# CrSnSeF2 GGA+U relaxed
# VASP energy (eV per formula unit): -26.5
# Volume (Å³/cell): 98.99
# Total moment (μB/cell): 4.0
data_CrSnSeF2
_space_group_name_H-M_alt 'P 4/m m m'
_space_group_IT_number 123
_space_group_name_Hall '-P 4 2'
_cell_length_a 4.106
_cell_length_b 4.106
_cell_length_c 5.871
_cell_angle_alpha 90.00
_cell_angle_beta 90.00
_cell_angle_gamma 90.00
loop_
_atom_site_label
_atom_site_type_symbol
_atom_site_fract_x
_atom_site_fract_y
_atom_site_fract_z
Cr1 Cr 0.000 0.000 0.000
Sn1 Sn 0.500 0.500 0.500
Se1 Se 0.000 0.000 0.500
F1 F 0.000 0.500 0.000